(1)
! PBE LiLaTi3, optimized geometry; values from VASP
&SYSTEM
  ibrav = 0, nat = 5, ntyp = 3
/
ATOMIC_SPECIES
Ti 47.87 Ti.upf
Li 6.94 Li.upf
La 138.91 La.upf
CELL_PARAMETERS angstrom
4.6997 0.0000 0.0000
0.0000 4.6997 0.0000
0.0000 0.0000 4.6997
ATOMIC_POSITIONS crystal
Ti 0.0000 0.5000 0.0000
Ti 0.0000 0.0000 0.5000
Ti 0.5000 0.0000 0.0000
Li 0.0000 0.0000 0.0000
La 0.5000 0.5000 0.5000
! energy relative to the lowest polymorph listed for this composition = 0 meV per atom
! raw total energy = -5.378 eV/atom
! space group = Pm-3m, No. 221
! D(E_F) = 1.47 states/eV/atom
! total magnetization = 0.00 μB/cell

=====

(2)
! PBE LiLa2Ti, optimized geometry; values from VASP
&SYSTEM
  ibrav = 0, nat = 4, ntyp = 3
/
ATOMIC_SPECIES
Ti 47.87 Ti.upf
Li 6.94 Li.upf
La 138.91 La.upf
CELL_PARAMETERS angstrom
-1.1027 2.9429 0.7585
-1.6563 0.4490 2.7399
9.2161 3.4469 6.9137
ATOMIC_POSITIONS crystal
Ti 0.0000 0.0000 0.0000
Li 0.5000 0.5000 0.5000
La 0.0801 0.0801 0.7598
La 0.9199 0.9199 0.2402
! energy relative to the lowest polymorph listed for this composition = 176 meV per atom
! raw total energy = -4.491 eV/atom
! space group = R-3m, No. 166
! D(E_F) = 1.15 states/eV/atom
! total magnetization = 0.63 μB/cell

=====

(3)
! PBE LiLaTi2, optimized geometry; values from VASP
&SYSTEM
  ibrav = 0, nat = 8, ntyp = 3
/
ATOMIC_SPECIES
Ti 47.87 Ti.upf
Li 6.94 Li.upf
La 138.91 La.upf
CELL_PARAMETERS angstrom
4.0457 0.0000 0.0000
0.0000 4.0457 0.0000
2.0228 2.0228 10.3386
ATOMIC_POSITIONS crystal
Ti 0.6166 0.1250 0.2500
Ti 0.1334 0.6250 0.2500
Ti 0.3750 0.3834 0.7500
Ti 0.8750 0.8666 0.7500
Li 0.5000 0.5000 0.0000
Li 0.2500 0.7500 0.5000
La 0.0000 0.0000 0.0000
La 0.7500 0.2500 0.5000
! raw total energy = -5.079 eV/atom
! space group = I-42d, No. 122
! D(E_F) = 1.78 states/eV/atom
! total magnetization = 0.30 μB/cell

=====

(4)
! PBE LiLa2YTi, optimized geometry; values from VASP
&SYSTEM
  ibrav = 0, nat = 5, ntyp = 4
/
ATOMIC_SPECIES
Y 88.91 Y.upf
Ti 47.87 Ti.upf
Li 6.94 Li.upf
La 138.91 La.upf
CELL_PARAMETERS angstrom
5.3104 0.0000 0.0000
0.0000 5.3160 0.0000
0.0000 0.0000 5.3104
ATOMIC_POSITIONS crystal
Y 0.0000 0.5000 0.0000
Ti 0.5000 0.5000 0.5000
Li 0.0000 0.0000 0.0000
La 0.0000 0.0000 0.5000
La 0.5000 0.0000 0.0000
! raw total energy = -4.438 eV/atom
! space group = P4/mmm, No. 123
! D(E_F) = 2.02 states/eV/atom
! total magnetization = 0.00 μB/cell

=====

(5)
! PBE Li3La2Tl3, optimized geometry; values from VASP
&SYSTEM
  ibrav = 0, nat = 16, ntyp = 3
/
ATOMIC_SPECIES
Li 6.94 Li.upf
La 138.91 La.upf
Tl 204.38 Tl.upf
CELL_PARAMETERS angstrom
-4.4684 3.7554 2.7139
-5.3347 -7.2469 1.2443
0.6073 -4.8233 7.6741
ATOMIC_POSITIONS crystal
Li 0.7500 0.0000 0.2837
Li 0.7500 0.2837 0.7163
Li 0.7500 0.7163 0.0000
Li 0.2500 0.0000 0.7163
Li 0.2500 0.7163 0.2837
Li 0.2500 0.2838 0.0000
La 0.0000 0.3333 0.3333
La 0.5000 0.6667 0.6667
La 0.0000 0.6667 0.6667
La 0.5000 0.3333 0.3333
Tl 0.7500 0.0000 0.6491
Tl 0.7500 0.6491 0.3509
Tl 0.7500 0.3509 0.0000
Tl 0.2500 0.0000 0.3509
Tl 0.2500 0.3509 0.6491
Tl 0.2500 0.6491 0.0000
! raw total energy = -3.014 eV/atom
! space group = P6_3/mcm, No. 193
! D(E_F) = 0.92 states/eV/atom
! total magnetization = 0.73 μB/cell

=====

(6)
! PBE Li3La2Tl2, optimized geometry; values from VASP
&SYSTEM
  ibrav = 0, nat = 14, ntyp = 3
/
ATOMIC_SPECIES
Li 6.94 Li.upf
La 138.91 La.upf
Tl 204.38 Tl.upf
CELL_PARAMETERS angstrom
7.9539 0.0000 0.0000
-2.6513 7.4990 0.0000
-2.6513 -3.7495 6.4943
ATOMIC_POSITIONS crystal
Li 0.7929 0.7500 0.0429
Li 0.7071 0.2500 0.4571
Li 0.9571 0.2071 0.2500
Li 0.5429 0.2929 0.7500
Li 0.2500 0.0429 0.2929
Li 0.7500 0.4571 0.2071
La 0.0000 0.0000 0.5492
La 0.5000 0.5492 0.5000
La 0.4508 0.9508 0.9508
La 0.0492 0.5000 0.0000
Tl 0.0000 0.0000 0.9400
Tl 0.5000 0.9400 0.5000
Tl 0.0600 0.5600 0.5600
Tl 0.4400 0.5000 0.0000
! raw total energy = -2.903 eV/atom
! space group = I2_13, No. 199
! D(E_F) = 0.94 states/eV/atom
! total magnetization = 0.00 μB/cell

=====

(7)
! PBE Li3La12Tl5, optimized geometry; values from VASP
&SYSTEM
  ibrav = 0, nat = 80, ntyp = 3
/
ATOMIC_SPECIES
Li 6.94 Li.upf
Tl 204.38 Tl.upf
La 138.91 La.upf
CELL_PARAMETERS angstrom
-10.1386 9.4206 8.2876
-5.9920 -2.6956 -14.7327
1.8136 -14.0475 7.7202
ATOMIC_POSITIONS crystal
Li 0.7500 0.3750 0.1250
Li 0.8750 0.7500 0.1250
Li 0.3750 0.7500 0.6250
Li 0.2500 0.1250 0.3750
Li 0.8750 0.1250 0.2500
Li 0.3750 0.6250 0.2500
Li 0.6250 0.3750 0.7500
Li 0.1250 0.8750 0.7500
Li 0.7500 0.8750 0.6250
Li 0.6250 0.2500 0.3750
Li 0.1250 0.2500 0.8750
Li 0.2500 0.6250 0.8750
Tl 0.1250 0.3750 0.2500
Tl 0.0000 0.5000 0.0000
Tl 0.0000 0.0000 0.0000
Tl 0.3750 0.2500 0.1250
Tl 0.5000 0.0000 0.5000
Tl 0.5000 0.5000 0.0000
Tl 0.1250 0.7500 0.3750
Tl 0.7500 0.1250 0.8750
Tl 0.7500 0.6250 0.3750
Tl 0.3750 0.1250 0.7500
Tl 0.6250 0.8750 0.2500
Tl 0.5000 0.5000 0.5000
Tl 0.5000 0.0000 0.0000
Tl 0.0000 0.0000 0.5000
Tl 0.2500 0.3750 0.6250
Tl 0.2500 0.8750 0.1250
Tl 0.0000 0.5000 0.5000
Tl 0.8750 0.2500 0.6250
Tl 0.6250 0.7500 0.8750
Tl 0.8750 0.6250 0.7500
La 0.7284 0.1374 0.0647
La 0.3363 0.5647 0.4273
La 0.9353 0.3626 0.2716
La 0.5647 0.2284 0.1374
La 0.5910 0.7284 0.6637
La 0.9353 0.5727 0.1637
La 0.3363 0.7716 0.4090
La 0.0727 0.9090 0.1374
La 0.5727 0.9353 0.6637
La 0.7284 0.5910 0.1637
La 0.7716 0.4353 0.3626
La 0.8363 0.9273 0.0647
La 0.1374 0.7284 0.5647
La 0.3626 0.4273 0.0910
La 0.0910 0.9273 0.3626
La 0.4090 0.1374 0.5727
La 0.0910 0.1637 0.2284
La 0.4353 0.6637 0.0727
La 0.8363 0.9090 0.2716
La 0.1374 0.4090 0.0727
La 0.3626 0.9353 0.7716
La 0.5727 0.6374 0.4090
La 0.9273 0.8363 0.5647
La 0.7716 0.3363 0.9090
La 0.4273 0.3626 0.5910
La 0.0727 0.1637 0.4353
La 0.2284 0.6637 0.0910
La 0.1637 0.0910 0.7284
La 0.6374 0.0647 0.2284
La 0.8626 0.5910 0.9273
La 0.5647 0.3363 0.9273
La 0.5910 0.8626 0.4273
La 0.9090 0.8363 0.7716
La 0.9090 0.0727 0.6374
La 0.8626 0.2716 0.4353
La 0.1637 0.0727 0.9353
La 0.6374 0.5727 0.9090
La 0.4273 0.0647 0.3363
La 0.2716 0.4090 0.8363
La 0.2284 0.5647 0.6374
La 0.9273 0.0910 0.8626
La 0.6637 0.2284 0.5910
La 0.4353 0.7716 0.8626
La 0.0647 0.4273 0.8363
La 0.4090 0.2716 0.3363
La 0.0647 0.6374 0.7284
La 0.6637 0.4353 0.5727
La 0.2716 0.8626 0.9353
! raw total energy = -3.493 eV/atom
! space group = Ia-3d, No. 230
! D(E_F) = 1.71 states/eV/atom
! total magnetization = 0.00 μB/cell

=====

(8)
! PBE Li2LaTl, optimized geometry; values from VASP
&SYSTEM
  ibrav = 0, nat = 4, ntyp = 3
/
ATOMIC_SPECIES
La 138.91 La.upf
Li 6.94 Li.upf
Tl 204.38 Tl.upf
CELL_PARAMETERS angstrom
5.3217 -0.0429 0.0516
4.2589 3.1913 0.0516
0.9047 0.2973 5.9346
ATOMIC_POSITIONS crystal
La 0.2500 0.2500 0.2500
Li 0.0163 0.0163 0.9385
Li 0.4837 0.4837 0.5615
Tl 0.7500 0.7500 0.7500
! energy relative to the lowest polymorph listed for this composition = 145 meV per atom
! raw total energy = -2.901 eV/atom
! space group = C2/m, No. 12
! D(E_F) = 0.87 states/eV/atom
! total magnetization = 0.40 μB/cell

=====

(9)
! PBE LiLa12Tl3, optimized geometry; values from VASP
&SYSTEM
  ibrav = 0, nat = 16, ntyp = 3
/
ATOMIC_SPECIES
Li 6.94 Li.upf
La 138.91 La.upf
Tl 204.38 Tl.upf
CELL_PARAMETERS angstrom
5.0831 0.0000 0.0000
0.0000 5.0831 0.0000
0.0000 0.0000 20.3164
ATOMIC_POSITIONS crystal
Li 0.0000 0.0000 0.0000
La 0.5000 0.5000 0.0000
La 0.5000 0.5000 0.2496
La 0.5000 0.5000 0.5000
La 0.5000 0.5000 0.7504
La 0.5000 0.0000 0.1269
La 0.5000 0.0000 0.3754
La 0.5000 0.0000 0.6246
La 0.5000 0.0000 0.8731
La 0.0000 0.5000 0.1269
La 0.0000 0.5000 0.3754
La 0.0000 0.5000 0.6246
La 0.0000 0.5000 0.8731
Tl 0.0000 0.0000 0.2502
Tl 0.0000 0.0000 0.5000
Tl 0.0000 0.0000 0.7498
! raw total energy = -4.404 eV/atom
! space group = P4/mmm, No. 123
! D(E_F) = 1.53 states/eV/atom
! total magnetization = 0.00 μB/cell

=====

(10)
! PBE Li5LaTl7, optimized geometry; values from VASP
&SYSTEM
  ibrav = 0, nat = 13, ntyp = 3
/
ATOMIC_SPECIES
Li 6.94 Li.upf
La 138.91 La.upf
Tl 204.38 Tl.upf
CELL_PARAMETERS angstrom
5.6466 0.0000 2.3190
2.8363 7.0546 1.1277
0.1432 -0.0116 7.6853
ATOMIC_POSITIONS crystal
Li 0.4923 0.0002 0.4957
Li 0.0118 0.0002 0.4957
Li 0.4923 0.4957 0.0002
Li 0.0118 0.4957 0.0002
Li 0.7355 0.7645 0.7645
La 0.9937 0.0063 0.0063
Tl 0.6492 0.3508 0.3508
Tl 0.3331 0.6669 0.6669
Tl 0.9859 0.3517 0.6765
Tl 0.9859 0.6765 0.3517
Tl 0.2705 0.2295 0.2295
Tl 0.5190 0.7876 0.1744
Tl 0.5190 0.1744 0.7876
! raw total energy = -2.618 eV/atom
! space group = Imm2, No. 44
! D(E_F) = 0.42 states/eV/atom
! total magnetization = 0.00 μB/cell

=====

(11)
! PBE Li2LaTl, optimized geometry; values from VASP
&SYSTEM
  ibrav = 0, nat = 4, ntyp = 3
/
ATOMIC_SPECIES
La 138.91 La.upf
Li 6.94 Li.upf
Tl 204.38 Tl.upf
CELL_PARAMETERS angstrom
5.6323 0.0093 0.0317
-2.7460 5.9216 0.0781
0.1404 0.9954 3.3827
ATOMIC_POSITIONS crystal
La 0.5000 0.5000 0.0000
Li 0.0000 0.0000 0.0000
Li 0.5000 0.0000 0.5000
Tl 0.0000 0.5000 0.5000
! energy relative to the lowest polymorph listed for this composition = 264 meV per atom
! raw total energy = -2.781 eV/atom
! space group = C2/m, No. 12
! D(E_F) = 0.87 states/eV/atom
! total magnetization = 0.00 μB/cell

=====

(12)
! PBE Li2LaTl2, optimized geometry; values from VASP
&SYSTEM
  ibrav = 0, nat = 5, ntyp = 3
/
ATOMIC_SPECIES
Tl 204.38 Tl.upf
Li 6.94 Li.upf
La 138.91 La.upf
CELL_PARAMETERS angstrom
-1.8105 0.0035 -3.9317
-2.2714 -3.5342 1.0428
-7.1137 2.1852 0.8950
ATOMIC_POSITIONS crystal
Tl 0.3841 0.3841 0.2319
Tl 0.6159 0.6159 0.7681
Li 0.7500 0.2500 0.5000
Li 0.2500 0.7500 0.5000
La 0.0000 0.0000 0.0000
! energy relative to the lowest polymorph listed for this composition = 16 meV per atom
! raw total energy = -2.957 eV/atom
! space group = I4/mmm, No. 139
! D(E_F) = 0.69 states/eV/atom
! total magnetization = 0.00 μB/cell